Material: Tc3Pb
Method: DFT, PBE-GGA
State: optimized geometry

abc: 2.9482 2.9482 27.2839
angles: 90.00 90.00 120.00
Space group R-3m (No. 166, hexagonal axes)
Symmetry-distinct sites (fractional):
Tc  0.0000  0.0000  0.0000 (multiplicity 3)
Tc  0.0000  0.0000  0.2586 (multiplicity 6)
Pb  0.0000  0.0000  0.5000 (multiplicity 3)

Output
- Crystal system: trigonal
- Energy above the most stable polymorph in this dataset: 0.046 eV/atom

---

Material: SrTc4Ag
Method: DFT, PBE-GGA
State: optimized geometry

abc: 7.585 7.585 7.585
angles: 90.00 90.00 90.00
Space group F-43m (No. 216)
Symmetry-distinct sites (fractional):
Sr  0.000  0.000  0.000 (multiplicity 4)
Tc  0.124  0.124  0.624 (multiplicity 16)
Ag  0.250  0.250  0.250 (multiplicity 4)

Output
- Crystal system: cubic

---

Material: HfCuAg2
Method: DFT, PBE-GGA
State: optimized geometry

abc: 3.025 3.025 7.551
angles: 90.00 90.00 90.00
Space group P4/mmm (No. 123)
Symmetry-distinct sites (fractional):
Hf  0.000  0.000  0.000 (multiplicity 1)
Cu  0.000  0.000  0.500 (multiplicity 1)
Ag  0.500  0.500  0.280 (multiplicity 2)

Output
- Crystal system: tetragonal
- Energy above the most stable polymorph in this dataset: 0.000 eV/atom

---

Material: NiPtS
Method: DFT, PBE-GGA
State: optimized geometry

abc: 10.932 3.201 5.753
angles: 90.00 117.75 90.00
Space group Cm (No. 8)
Symmetry-distinct sites (fractional):
Ni  0.000  0.000  0.000 (multiplicity 2)
Ni  0.207  0.500  0.223 (multiplicity 2)
Pt  0.038  0.500  0.684 (multiplicity 2)
Pt  0.268  0.000  0.911 (multiplicity 2)
S  0.001  0.500  0.246 (multiplicity 2)
S  0.300  0.000  0.520 (multiplicity 2)

Output
- Uncorrected formation energy: -41 kJ/mol of formula units
- Crystal system: monoclinic
- Energy above the most stable polymorph in this dataset: 0.035 eV/atom

---

Material: Pr2GaCuS5
Method: DFT, PBE-GGA
State: optimized geometry

abc: 3.910 17.309 11.438
angles: 90.00 90.00 90.00
Space group Cmc2_1 (No. 36)
Symmetry-distinct sites (fractional):
Pr  0.000  0.114  0.000 (multiplicity 4)
Pr  0.000  0.133  0.618 (multiplicity 4)
Ga  0.000  0.425  0.773 (multiplicity 4)
Cu  0.000  0.246  0.401 (multiplicity 4)
S  0.000  0.045  0.378 (multiplicity 4)
S  0.000  0.293  0.976 (multiplicity 4)
S  0.000  0.317  0.659 (multiplicity 4)
S  0.000  0.361  0.312 (multiplicity 4)
S  0.000  0.499  0.102 (multiplicity 4)

Output
- Uncorrected formation energy: -1173 kJ/mol of formula units
- Crystal system: orthorhombic

---

Material: Ba2AlGeO6
Method: DFT, PBE-GGA
State: optimized geometry

abc: 5.7147 5.7147 27.9787
angles: 90.00 90.00 120.00
Space group R-3m (No. 166, hexagonal axes)
Symmetry-distinct sites (fractional):
Ba  0.0000  0.0000  0.1285 (multiplicity 6)
Ba  0.0000  0.0000  0.2861 (multiplicity 6)
Al  0.0000  0.0000  0.0000 (multiplicity 3)
Al  0.0000  0.0000  0.5000 (multiplicity 3)
Ge  0.0000  0.0000  0.4076 (multiplicity 6)
O  0.0016  0.5008  0.7066 (multiplicity 18)
O  0.0393  0.5197  0.1225 (multiplicity 18)

Output
- Uncorrected formation energy: -2248 kJ/mol of formula units
- Crystal system: trigonal

---

no.,electronic total energy (eV/atom)
1,-8.175
2,-7.049
3,-4.842
4,-5.457
5,-5.497
6,-6.525